Pr5NdEr2 | GGA-PBE | optimized geometry

Cell: 9.012 9.012 9.012 Å, 156.81 101.52 83.18°
Element x y z (fractional)
Pr  0.000  0.000  0.000
Pr  0.099  0.368  0.731
Pr  0.363  0.632  0.731
Pr  0.637  0.368  0.269
Pr  0.901  0.632  0.269
Nd  0.500  0.000  0.500
Er  0.258  0.258  0.000
Er  0.742  0.742  0.000

The total moment is 0.0 Bohr magnetons per cell. As for the density of states at the Fermi level: 1.428 states/eV/atom. The crystal system is orthorhombic. The calculation puts the raw total energy at -37.49 eV/cell. The energy relative to the lowest polymorph listed for this composition comes out at 0.027 eV/atom. The value obtained for the energy of formation is 0.038 eV per atom. The space group is Immm.